No. 1
VASP calculation (PBE-GGA) on a relaxed structure of Na3Nd3BiS8.

Results
- size of the total moment (μB per formula unit) = 0.00
- space group = R-3m (166)
- formation energy without anion corrections (kJ/mol of formula units) = -2080
- total energy (eV per atom) = -5.114

Unit cell a=8.212 b=8.211 c=8.246 alpha=119.88 beta=90.00 gamma=120.00
Positions (direct):
Na 0.000 0.000 0.000
Na 0.000 0.500 0.000
Na 0.500 0.500 0.000
Nd 0.500 0.000 0.500
Nd 0.500 0.500 0.500
Nd 0.000 0.500 0.500
Bi 0.000 0.000 0.500
S 0.256 0.512 0.269
S 0.744 0.488 0.731
S 0.763 0.526 0.272
S 0.237 0.474 0.728
S 0.763 0.009 0.272
S 0.237 0.991 0.728
S 0.246 0.009 0.272
S 0.754 0.991 0.728

No. 2
VASP calculation (PBE-GGA) on a relaxed structure of Dy2CrGe4.

Results
- size of the total moment (μB per formula unit) = 0.00
- space group = Amm2 (38)
- total energy (eV per atom) = -5.806

Unit cell a=7.959 b=7.959 c=4.310 alpha=90.00 beta=90.00 gamma=148.43
Positions (direct):
Dy 0.401 0.599 0.000
Dy 0.603 0.397 0.500
Cr 0.207 0.793 0.000
Ge 0.051 0.949 0.000
Ge 0.940 0.060 0.500
Ge 0.760 0.240 0.000
Ge 0.252 0.748 0.500